[1]
Sr2TaSb: optimized geometry, GGA-PBE.

Density of states at the Fermi level = 3.6 states/eV/f.u.
Crystal system = orthorhombic
Raw formation energy = 186.7 meV per atom
Calculated volume = 34.2 Å³ per atom
Symmetry = No. 38

a = 4.550 Å, b = 6.702 Å, c = 6.702 Å
α = 41.99°, β = 90.00°, γ = 90.00°
Fractional positions:
1 Sr 0.000 0.000 0.000
2 Sr 0.500 0.295 0.295
3 Ta 0.000 0.709 0.709
4 Sb 0.500 0.584 0.584

=====

[2]
BiI2NCl: optimized geometry, GGA-PBE.

Density of states at the Fermi level = 5.1 states/eV/f.u.
Crystal system = tetragonal
Raw formation energy = 1052.8 meV per atom
Calculated volume = 31.8 Å³ per atom
Symmetry = No. 123

a = 6.860 Å, b = 6.860 Å, c = 3.380 Å
α = 90.00°, β = 90.00°, γ = 90.00°
Fractional positions:
1 Bi 0.000 0.000 0.000
2 I 0.000 0.500 0.500
3 I 0.500 0.000 0.500
4 N 0.500 0.500 0.000
5 Cl 0.500 0.500 0.500

=====

[3]
Ba2BiN: optimized geometry, GGA-PBE.

Density of states at the Fermi level = 2.4 states/eV/f.u.
Crystal system = cubic
Raw formation energy = 130.2 meV per atom
Calculated volume = 34.2 Å³ per atom
Symmetry = No. 225

a = 5.782 Å, b = 5.782 Å, c = 5.782 Å
α = 60.00°, β = 60.00°, γ = 60.00°
Fractional positions:
1 Ba 0.250 0.250 0.250
2 Ba 0.750 0.750 0.750
3 Bi 0.000 0.000 0.000
4 N 0.500 0.500 0.500

=====

[4]
Zr6ReRu5: optimized geometry, GGA-PBE.

Energy of formation = -0.588 eV per atom
Density of states at the Fermi level = 4.2 states/eV/f.u.
Crystal system = orthorhombic
Calculated volume = 17.7 Å³ per atom
Symmetry = No. 71

a = 8.041 Å, b = 8.041 Å, c = 8.041 Å
α = 146.48°, β = 131.82°, γ = 59.96°
Fractional positions:
1 Zr 0.083 0.334 0.750
2 Zr 0.249 0.000 0.249
3 Zr 0.416 0.666 0.750
4 Zr 0.584 0.334 0.250
5 Zr 0.751 0.000 0.751
6 Zr 0.917 0.666 0.250
7 Re 0.000 0.500 0.500
8 Ru 0.167 0.167 0.000
9 Ru 0.333 0.833 0.500
10 Ru 0.500 0.500 0.000
11 Ru 0.667 0.167 0.500
12 Ru 0.833 0.833 0.000

=====

[5]
Pm4Er3Sn4: optimized geometry, GGA-PBE.

Energy of formation = -0.544 eV per atom
Density of states at the Fermi level = 9.6 states/eV/f.u.
Crystal system = orthorhombic
Calculated volume = 29.3 Å³ per atom
Symmetry = No. 71

a = 10.808 Å, b = 10.808 Å, c = 10.808 Å
α = 161.21°, β = 127.27°, γ = 56.48°
Fractional positions:
1 Pm 0.014 0.837 0.177
2 Pm 0.340 0.163 0.177
3 Pm 0.660 0.837 0.823
4 Pm 0.986 0.163 0.823
5 Er 0.000 0.500 0.500
6 Er 0.409 0.409 0.000
7 Er 0.591 0.591 0.000
8 Sn 0.276 0.776 0.500
9 Sn 0.280 0.000 0.280
10 Sn 0.720 0.000 0.720
11 Sn 0.724 0.224 0.500

=====

[6]
LaPm2Pr: optimized geometry, GGA-PBE.

Energy of formation = 0.173 eV per atom
Density of states at the Fermi level = 6.3 states/eV/f.u.
Crystal system = orthorhombic
Calculated volume = 36.2 Å³ per atom
Symmetry = No. 38

a = 3.735 Å, b = 7.068 Å, c = 7.068 Å
α = 50.95°, β = 90.00°, γ = 90.00°
Fractional positions:
1 La 0.000 0.000 0.000
2 Pm 0.000 0.272 0.272
3 Pm 0.500 0.499 0.499
4 Pr 0.500 0.771 0.771

=====

[7]
BiTeP2: optimized geometry, GGA-PBE.

Density of states at the Fermi level = 2.3 states/eV/f.u.
Crystal system = cubic
Raw formation energy = 566.1 meV per atom
Calculated volume = 22.0 Å³ per atom
Symmetry = No. 225

a = 4.989 Å, b = 4.989 Å, c = 4.989 Å
α = 60.00°, β = 60.00°, γ = 60.00°
Fractional positions:
1 Bi 0.000 0.000 0.000
2 Te 0.500 0.500 0.500
3 P 0.250 0.250 0.250
4 P 0.750 0.750 0.750

=====

[8]
AsRu: optimized geometry, GGA-PBE.

Energy of formation = 0.116 eV per atom
Density of states at the Fermi level = 1.4 states/eV/f.u.
Crystal system = tetragonal
Calculated volume = 15.6 Å³ per atom
Symmetry = No. 129

a = 4.010 Å, b = 4.010 Å, c = 3.883 Å
α = 90.00°, β = 90.00°, γ = 90.00°
Fractional positions:
1 As 0.250 0.750 0.000
2 As 0.750 0.250 0.000
3 Ru 0.250 0.250 0.377
4 Ru 0.750 0.750 0.623